Here is a geometry-optimized BaGaGe structure from Alexandria via LeMat-Bulk. Energies are from PBEsol.

The structure belongs to space group P6_3/mmc (No. 194); the cell edges are 4.3074, 4.3074 and 20.1553 Å and the angles 90.00°, 90.00° and 120.00°. The asymmetric unit holds Ba at (0.0000, 0.0000, 0.0000), Ba at (0.0000, 0.0000, 0.2500), Ga at (0.3333, 0.6667, 0.1356) and Ge at (0.3333, 0.6667, 0.6168).

The calculation puts the formation energy at -0.570 eV per atom.

Here is a geometry-optimized CeHg2 structure from Alexandria via LeMat-Bulk. Energies are from PBEsol.

The structure belongs to space group P6/mmm (No. 191); the cell edges are 4.9852, 4.9852 and 3.2552 Å and the angles 90.00°, 90.00° and 120.00°. The asymmetric unit holds Ce at (0.0000, 0.0000, 0.0000) and Hg at (0.3333, 0.6667, 0.5000).

The calculation puts the formation energy at -0.419 eV per atom.

Here is a geometry-optimized InSn2Hg structure from Alexandria via LeMat-Bulk. Energies are from PBEsol.

The structure belongs to space group Fm-3m (No. 225); the cell edges are 7.3908, 7.3908 and 7.3908 Å and the angles 90.00°, 90.00° and 90.00°. The asymmetric unit holds In at (0.0000, 0.0000, 0.0000), Sn at (0.2500, 0.2500, 0.2500) and Hg at (0.0000, 0.0000, 0.5000).

As for the offset from the most stable computed form: 19 meV/atom. The calculation puts the formation energy at 0.035 eV per atom.

Fermi-level density of states in states/eV/cell, matching the order above: 6.024, 6.104, 5.656
Mass density in g/cm³, matching the order above: 5.7, 12.8, 9.1
Electronic total energy in eV/atom, matching the order above: -4.05, -3.00, -2.98